No. 1
A plane-wave DFT calculation with PBE was carried out for a relaxed BeSb crystal.

Computed properties:
DOS at the Fermi energy	0.734	states/eV/f.u.
uncorrected formation energy	0.345	eV per atom

a = 8.1290 Å, b = 13.1146 Å, c = 6.4007 Å
α = 90.00°, β = 90.00°, γ = 90.00°
Sites, in units of the cell vectors:
Be 0.2500 0.1064 0.2500
Be 0.7500 0.6064 0.2500
Be 0.7500 0.8936 0.2500
Be 0.7500 0.3936 0.7500
Be 0.0000 0.6436 0.0000
Be 0.2500 0.8936 0.7500
Be 0.5000 0.3564 0.5000
Be 0.2500 0.6064 0.7500
Be 0.0000 0.3564 0.0000
Be 0.5000 0.8564 0.0000
Be 0.2500 0.3936 0.2500
Be 0.7500 0.1064 0.7500
Be 0.0000 0.1436 0.5000
Be 0.5000 0.6436 0.5000
Be 0.5000 0.1436 0.0000
Be 0.0000 0.8564 0.5000
Sb 0.7500 0.2500 0.4917
Sb 0.5000 0.5000 0.2417
Sb 0.2500 0.2500 0.9917
Sb 0.2500 0.7500 0.4917
Sb 0.0000 0.5000 0.2583
Sb 0.7500 0.2500 0.0083
Sb 0.5000 0.0000 0.2583
Sb 0.0000 0.0000 0.7583
Sb 0.5000 0.5000 0.7583
Sb 0.5000 0.0000 0.7417
Sb 0.0000 0.5000 0.7417
Sb 0.2500 0.7500 0.0083
Sb 0.0000 0.0000 0.2417
Sb 0.2500 0.2500 0.5083
Sb 0.7500 0.7500 0.9917
Sb 0.7500 0.7500 0.5083


No. 2
A plane-wave DFT calculation with PBE was carried out for a relaxed BeSb3 crystal.

Computed properties:
DOS at the Fermi energy	2.232	states/eV/f.u.
uncorrected formation energy	0.378	eV per atom

a = 3.5344 Å, b = 3.5344 Å, c = 8.7549 Å
α = 90.00°, β = 90.00°, γ = 120.00°
Sites, in units of the cell vectors:
Sb 0.6667 0.3333 0.8168
Sb 0.0000 0.0000 0.5000
Sb 0.6667 0.3333 0.1832
Be 0.0000 0.0000 0.0000


No. 3
A plane-wave DFT calculation with PBE was carried out for a relaxed BeSb3 crystal.

Computed properties:
DOS at the Fermi energy	1.490	states/eV/f.u.
uncorrected formation energy	0.276	eV per atom

a = 6.1173 Å, b = 6.1173 Å, c = 6.1173 Å
α = 144.85°, β = 125.41°, γ = 66.60°
Sites, in units of the cell vectors:
Sb 0.2796 0.6444 0.6353
Sb 0.9909 0.3556 0.6353
Sb 0.6199 0.5000 0.1199
Be 0.9428 0.0000 0.9428


No. 4
A plane-wave DFT calculation with PBE was carried out for a relaxed BeSb crystal.

Computed properties:
DOS at the Fermi energy	0.950	states/eV/f.u.
uncorrected formation energy	0.327	eV per atom

a = 8.5727 Å, b = 8.5727 Å, c = 4.2050 Å
α = 90.00°, β = 90.00°, γ = 120.00°
Sites, in units of the cell vectors:
Sb 0.3577 0.3399 0.7500
Sb 0.6601 0.0179 0.7500
Sb 0.3399 0.9821 0.2500
Sb 0.9821 0.6423 0.7500
Sb 0.6423 0.6601 0.2500
Sb 0.0179 0.3577 0.2500
Be 0.5063 0.3137 0.2500
Be 0.4937 0.6863 0.7500
Be 0.6863 0.1926 0.2500
Be 0.8074 0.4937 0.2500
Be 0.3137 0.8074 0.7500
Be 0.1926 0.5063 0.7500


What did the first record say?
A plane-wave DFT calculation with PBE was carried out for a relaxed BeSb crystal.

Computed properties:
DOS at the Fermi energy	0.734	states/eV/f.u.
uncorrected formation energy	0.345	eV per atom

a = 8.1290 Å, b = 13.1146 Å, c = 6.4007 Å
α = 90.00°, β = 90.00°, γ = 90.00°
Sites, in units of the cell vectors:
Be 0.2500 0.1064 0.2500
Be 0.7500 0.6064 0.2500
Be 0.7500 0.8936 0.2500
Be 0.7500 0.3936 0.7500
Be 0.0000 0.6436 0.0000
Be 0.2500 0.8936 0.7500
Be 0.5000 0.3564 0.5000
Be 0.2500 0.6064 0.7500
Be 0.0000 0.3564 0.0000
Be 0.5000 0.8564 0.0000
Be 0.2500 0.3936 0.2500
Be 0.7500 0.1064 0.7500
Be 0.0000 0.1436 0.5000
Be 0.5000 0.6436 0.5000
Be 0.5000 0.1436 0.0000
Be 0.0000 0.8564 0.5000
Sb 0.7500 0.2500 0.4917
Sb 0.5000 0.5000 0.2417
Sb 0.2500 0.2500 0.9917
Sb 0.2500 0.7500 0.4917
Sb 0.0000 0.5000 0.2583
Sb 0.7500 0.2500 0.0083
Sb 0.5000 0.0000 0.2583
Sb 0.0000 0.0000 0.7583
Sb 0.5000 0.5000 0.7583
Sb 0.5000 0.0000 0.7417
Sb 0.0000 0.5000 0.7417
Sb 0.2500 0.7500 0.0083
Sb 0.0000 0.0000 0.2417
Sb 0.2500 0.2500 0.5083
Sb 0.7500 0.7500 0.9917
Sb 0.7500 0.7500 0.5083